Entry 1:
Entry from Alexandria: a relaxed structure of BaMgRh4 (PBE-GGA).

Calculated volume ... 113 Å³/cell
D(E_F) ... 9.35 states/eV/cell
Calculated total energy ... -5.525 eV per atom
ΔE_f ... -0.038 eV/atom
Crystal system ... cubic
Density ... 8.4 g/cm3

Cell lengths 5.433, 5.433, 5.433 Å; angles 60.00, 60.00, 60.00 degrees
Atoms (fractional coordinates):
Ba (0.000, 0.000, 0.000)
Mg (0.750, 0.750, 0.750)
Rh (0.376, 0.376, 0.376)
Rh (0.376, 0.376, 0.872)
Rh (0.376, 0.872, 0.376)
Rh (0.872, 0.376, 0.376)

=====

Entry 2:
Entry from Alexandria: a relaxed structure of BaMg2Rh (PBE-GGA).

Calculated volume ... 97 Å³/cell
D(E_F) ... 2.57 states/eV/cell
Calculated total energy ... -3.286 eV per atom
ΔE_f ... -0.170 eV/atom
Crystal system ... orthorhombic
Density ... 4.9 g/cm3

Cell lengths 3.328, 3.353, 8.684 Å; angles 90.00, 90.00, 90.00 degrees
Atoms (fractional coordinates):
Ba (0.000, 0.000, 0.000)
Mg (0.500, 0.500, 0.337)
Mg (0.500, 0.500, 0.663)
Rh (0.000, 0.000, 0.500)

=====

Entry 3:
Entry from Alexandria: a relaxed structure of BaMg2Rh (PBE-GGA).

Calculated volume ... 102 Å³/cell
D(E_F) ... 3.27 states/eV/cell
Calculated total energy ... -2.978 eV per atom
ΔE_f ... 0.138 eV/atom
Crystal system ... tetragonal
Density ... 4.7 g/cm3

Cell lengths 4.379, 4.379, 5.341 Å; angles 90.00, 90.00, 90.00 degrees
Atoms (fractional coordinates):
Ba (0.000, 0.000, 0.000)
Mg (0.000, 0.500, 0.500)
Mg (0.500, 0.000, 0.500)
Rh (0.500, 0.500, 0.000)

=====

Entry 4:
Entry from Alexandria: a relaxed structure of BaMg2Rh (PBE-GGA).

Calculated volume ... 211 Å³/cell
D(E_F) ... 2.84 states/eV/cell
Calculated total energy ... -3.233 eV per atom
ΔE_f ... -0.117 eV/atom
Crystal system ... orthorhombic
Density ... 4.5 g/cm3

Cell lengths 3.355, 5.521, 11.387 Å; angles 90.00, 90.00, 90.00 degrees
Atoms (fractional coordinates):
Ba (0.000, 0.000, 0.000)
Ba (0.500, 0.500, 0.500)
Mg (0.000, 0.500, 0.188)
Mg (0.000, 0.500, 0.812)
Mg (0.500, 0.000, 0.312)
Mg (0.500, 0.000, 0.688)
Rh (0.000, 0.000, 0.500)
Rh (0.500, 0.500, 0.000)

=====

Entry 5:
Entry from Alexandria: a relaxed structure of Ba2MgRh (PBE-GGA).

Calculated volume ... 477 Å³/cell
D(E_F) ... 13.13 states/eV/cell
Calculated total energy ... -3.407 eV per atom
ΔE_f ... -0.209 eV/atom
Crystal system ... trigonal
Density ... 4.2 g/cm3

Cell lengths 4.633, 4.633, 25.666 Å; angles 90.00, 90.00, 120.00 degrees
Atoms (fractional coordinates):
Ba (0.000, 0.000, 0.000)
Ba (0.000, 0.000, 0.170)
Ba (0.333, 0.667, 0.667)
Ba (0.333, 0.667, 0.837)
Ba (0.667, 0.333, 0.333)
Ba (0.667, 0.333, 0.503)
Mg (0.000, 0.000, 0.752)
Mg (0.333, 0.667, 0.419)
Mg (0.667, 0.333, 0.085)
Rh (0.000, 0.000, 0.418)
Rh (0.333, 0.667, 0.085)
Rh (0.667, 0.333, 0.751)

=====

Entry 6:
Entry from Alexandria: a relaxed structure of BaMg2Rh (PBE-GGA).

Calculated volume ... 119 Å³/cell
D(E_F) ... 2.21 states/eV/cell
Calculated total energy ... -3.252 eV per atom
ΔE_f ... -0.136 eV/atom
Crystal system ... monoclinic
Density ... 4.0 g/cm3

Cell lengths 4.192, 4.415, 6.759 Å; angles 90.00, 107.96, 90.00 degrees
Atoms (fractional coordinates):
Ba (0.000, 0.000, 0.000)
Mg (0.281, 0.000, 0.560)
Mg (0.757, 0.500, 0.513)
Rh (0.382, 0.500, 0.764)

=====

Entry 7:
Entry from Alexandria: a relaxed structure of Ba2MgRh (PBE-GGA).

Calculated volume ... 135 Å³/cell
D(E_F) ... 4.54 states/eV/cell
Calculated total energy ... -3.240 eV per atom
ΔE_f ... -0.042 eV/atom
Crystal system ... tetragonal
Density ... 5.0 g/cm3

Cell lengths 3.786, 3.786, 9.394 Å; angles 90.00, 90.00, 90.00 degrees
Atoms (fractional coordinates):
Ba (0.000, 0.000, 0.000)
Ba (0.500, 0.500, 0.413)
Mg (0.000, 0.000, 0.666)
Rh (0.500, 0.500, 0.742)

=====

Entry 8:
Entry from Alexandria: a relaxed structure of BaMg2Rh (PBE-GGA).

Calculated volume ... 103 Å³/cell
D(E_F) ... 2.13 states/eV/cell
Calculated total energy ... -3.253 eV per atom
ΔE_f ... -0.137 eV/atom
Crystal system ... orthorhombic
Density ... 4.7 g/cm3

Cell lengths 3.427, 3.800, 7.878 Å; angles 90.00, 90.00, 90.00 degrees
Atoms (fractional coordinates):
Ba (0.000, 0.000, 0.000)
Mg (0.000, 0.000, 0.591)
Mg (0.500, 0.500, 0.369)
Rh (0.500, 0.500, 0.712)

=====

Entry 9:
Entry from Alexandria: a relaxed structure of Ba2MgRh (PBE-GGA).

Calculated volume ... 323 Å³/cell
D(E_F) ... 9.30 states/eV/cell
Calculated total energy ... -3.331 eV per atom
ΔE_f ... -0.133 eV/atom
Crystal system ... monoclinic
Density ... 4.1 g/cm3

Cell lengths 7.941, 4.584, 8.860 Å; angles 90.00, 90.11, 90.00 degrees
Atoms (fractional coordinates):
Ba (0.000, 0.000, 0.000)
Ba (0.168, 0.500, 0.549)
Ba (0.500, 0.500, 0.000)
Ba (0.668, 0.000, 0.549)
Mg (0.334, 0.000, 0.284)
Mg (0.834, 0.500, 0.284)
Rh (0.001, 0.000, 0.337)
Rh (0.501, 0.500, 0.337)

=====

Entry 10:
Entry from Alexandria: a relaxed structure of Ba2MgRh (PBE-GGA).

Calculated volume ... 463 Å³/cell
D(E_F) ... 19.79 states/eV/cell
Calculated total energy ... -3.063 eV per atom
ΔE_f ... 0.135 eV/atom
Crystal system ... cubic
Density ... 5.8 g/cm3

Cell lengths 7.736, 7.736, 7.736 Å; angles 90.00, 90.00, 90.00 degrees
Atoms (fractional coordinates):
Ba (0.000, 0.000, 0.000)
Ba (0.000, 0.500, 0.500)
Ba (0.250, 0.250, 0.250)
Ba (0.250, 0.750, 0.750)
Ba (0.500, 0.000, 0.500)
Ba (0.500, 0.500, 0.000)
Ba (0.750, 0.250, 0.750)
Ba (0.750, 0.750, 0.250)
Mg (0.250, 0.250, 0.750)
Mg (0.250, 0.750, 0.250)
Mg (0.750, 0.250, 0.250)
Mg (0.750, 0.750, 0.750)
Rh (0.000, 0.000, 0.500)
Rh (0.000, 0.500, 0.000)
Rh (0.500, 0.000, 0.000)
Rh (0.500, 0.500, 0.500)

=====

Entry 11:
Entry from Alexandria: a relaxed structure of BaMg2Rh (PBE-GGA).

Calculated volume ... 338 Å³/cell
D(E_F) ... 11.66 states/eV/cell
Calculated total energy ... -3.295 eV per atom
ΔE_f ... -0.179 eV/atom
Crystal system ... trigonal
Density ... 4.3 g/cm3

Cell lengths 4.569, 4.569, 18.722 Å; angles 90.00, 90.00, 120.00 degrees
Atoms (fractional coordinates):
Ba (0.000, 0.000, 0.000)
Ba (0.333, 0.667, 0.667)
Ba (0.667, 0.333, 0.333)
Mg (0.000, 0.000, 0.199)
Mg (0.000, 0.000, 0.801)
Mg (0.333, 0.667, 0.468)
Mg (0.333, 0.667, 0.865)
Mg (0.667, 0.333, 0.135)
Mg (0.667, 0.333, 0.532)
Rh (0.000, 0.000, 0.500)
Rh (0.333, 0.667, 0.167)
Rh (0.667, 0.333, 0.833)

=====

Entry 12:
Entry from Alexandria: a relaxed structure of Ba2MgRh (PBE-GGA).

Calculated volume ... 317 Å³/cell
D(E_F) ... 6.19 states/eV/cell
Calculated total energy ... -3.156 eV per atom
ΔE_f ... 0.042 eV/atom
Crystal system ... monoclinic
Density ... 4.2 g/cm3

Cell lengths 7.672, 4.393, 9.739 Å; angles 90.00, 104.95, 90.00 degrees
Atoms (fractional coordinates):
Ba (0.228, 0.000, 0.184)
Ba (0.272, 0.500, 0.816)
Ba (0.728, 0.500, 0.184)
Ba (0.772, 0.000, 0.816)
Mg (0.000, 0.000, 0.500)
Mg (0.500, 0.500, 0.500)
Rh (0.000, 0.500, 0.000)
Rh (0.500, 0.000, 0.000)

=====

Entry 13:
Entry from Alexandria: a relaxed structure of BaMg2Rh2 (PBE-GGA).

Calculated volume ... 225 Å³/cell
D(E_F) ... 3.25 states/eV/cell
Calculated total energy ... -4.256 eV per atom
ΔE_f ... -0.293 eV/atom
Crystal system ... tetragonal
Density ... 5.8 g/cm3

Cell lengths 4.445, 4.445, 11.385 Å; angles 90.00, 90.00, 90.00 degrees
Atoms (fractional coordinates):
Ba (0.000, 0.000, 0.000)
Ba (0.500, 0.500, 0.500)
Mg (0.000, 0.500, 0.250)
Mg (0.000, 0.500, 0.750)
Mg (0.500, 0.000, 0.250)
Mg (0.500, 0.000, 0.750)
Rh (0.000, 0.000, 0.386)
Rh (0.000, 0.000, 0.614)
Rh (0.500, 0.500, 0.114)
Rh (0.500, 0.500, 0.886)

=====

Entry 14:
Entry from Alexandria: a relaxed structure of BaMg2Rh2 (PBE-GGA).

Calculated volume ... 204 Å³/cell
D(E_F) ... 4.24 states/eV/cell
Calculated total energy ... -4.152 eV per atom
ΔE_f ... -0.189 eV/atom
Crystal system ... tetragonal
Density ... 6.4 g/cm3

Cell lengths 8.090, 8.090, 3.110 Å; angles 90.00, 90.00, 90.00 degrees
Atoms (fractional coordinates):
Ba (0.000, 0.000, 0.000)
Ba (0.500, 0.500, 0.000)
Mg (0.125, 0.375, 0.000)
Mg (0.375, 0.875, 0.000)
Mg (0.625, 0.125, 0.000)
Mg (0.875, 0.625, 0.000)
Rh (0.162, 0.662, 0.500)
Rh (0.338, 0.162, 0.500)
Rh (0.662, 0.838, 0.500)
Rh (0.838, 0.338, 0.500)

=====

Entry 15:
Entry from Alexandria: a relaxed structure of BaMg2Rh (PBE-GGA).

Calculated volume ... 193 Å³/cell
D(E_F) ... 4.66 states/eV/cell
Calculated total energy ... -2.855 eV per atom
ΔE_f ... 0.261 eV/atom
Crystal system ... orthorhombic
Density ... 5.0 g/cm3

Cell lengths 5.988, 9.295, 3.466 Å; angles 90.00, 90.00, 90.00 degrees
Atoms (fractional coordinates):
Ba (0.000, 0.000, 0.000)
Ba (0.500, 0.500, 0.000)
Mg (0.250, 0.250, 0.500)
Mg (0.250, 0.750, 0.500)
Mg (0.750, 0.250, 0.500)
Mg (0.750, 0.750, 0.500)
Rh (0.000, 0.500, 0.000)
Rh (0.500, 0.000, 0.000)

=====

Entry 16:
Entry from Alexandria: a relaxed structure of BaMg3Rh2 (PBE-GGA).

Calculated volume ... 268 Å³/cell
D(E_F) ... 5.44 states/eV/cell
Calculated total energy ... -3.892 eV per atom
ΔE_f ... -0.324 eV/atom
Crystal system ... orthorhombic
Density ... 5.1 g/cm3

Cell lengths 6.740, 6.740, 5.985 Å; angles 90.00, 90.00, 80.90 degrees
Atoms (fractional coordinates):
Ba (0.134, 0.866, 0.750)
Ba (0.866, 0.134, 0.250)
Mg (0.035, 0.566, 0.250)
Mg (0.434, 0.965, 0.250)
Mg (0.481, 0.519, 0.250)
Mg (0.519, 0.481, 0.750)
Mg (0.566, 0.035, 0.750)
Mg (0.965, 0.434, 0.750)
Rh (0.282, 0.282, 0.000)
Rh (0.282, 0.282, 0.500)
Rh (0.718, 0.718, 0.000)
Rh (0.718, 0.718, 0.500)

=====

Entry 17:
Entry from Alexandria: a relaxed structure of BaMg2Rh (PBE-GGA).

Calculated volume ... 194 Å³/cell
D(E_F) ... 3.31 states/eV/cell
Calculated total energy ... -3.066 eV per atom
ΔE_f ... 0.049 eV/atom
Crystal system ... tetragonal
Density ... 4.9 g/cm3

Cell lengths 4.608, 4.608, 9.133 Å; angles 90.00, 90.00, 90.00 degrees
Atoms (fractional coordinates):
Ba (0.000, 0.000, 0.000)
Ba (0.500, 0.500, 0.500)
Mg (0.000, 0.500, 0.250)
Mg (0.000, 0.500, 0.750)
Mg (0.500, 0.000, 0.250)
Mg (0.500, 0.000, 0.750)
Rh (0.000, 0.000, 0.500)
Rh (0.500, 0.500, 0.000)

=====

Entry 18:
Entry from Alexandria: a relaxed structure of BaMg2Rh2 (PBE-GGA).

Calculated volume ... 202 Å³/cell
D(E_F) ... 3.30 states/eV/cell
Calculated total energy ... -4.217 eV per atom
ΔE_f ... -0.254 eV/atom
Crystal system ... tetragonal
Density ... 6.4 g/cm3

Cell lengths 8.020, 8.020, 3.148 Å; angles 90.00, 90.00, 90.00 degrees
Atoms (fractional coordinates):
Ba (0.000, 0.000, 0.000)
Ba (0.500, 0.500, 0.000)
Mg (0.131, 0.369, 0.500)
Mg (0.369, 0.869, 0.500)
Mg (0.631, 0.131, 0.500)
Mg (0.869, 0.631, 0.500)
Rh (0.156, 0.656, 0.000)
Rh (0.344, 0.156, 0.000)
Rh (0.656, 0.844, 0.000)
Rh (0.844, 0.344, 0.000)

=====

Entry 19:
Entry from Alexandria: a relaxed structure of Ba3MgRh (PBE-GGA).

Calculated volume ... 225 Å³/cell
D(E_F) ... 7.95 states/eV/cell
Calculated total energy ... -3.027 eV per atom
ΔE_f ... -0.084 eV/atom
Crystal system ... cubic
Density ... 4.0 g/cm3

Cell lengths 6.083, 6.083, 6.083 Å; angles 90.00, 90.00, 90.00 degrees
Atoms (fractional coordinates):
Ba (0.000, 0.000, 0.500)
Ba (0.000, 0.500, 0.000)
Ba (0.500, 0.000, 0.000)
Mg (0.500, 0.500, 0.500)
Rh (0.000, 0.000, 0.000)

=====

Entry 20:
Entry from Alexandria: a relaxed structure of BaMg2Rh (PBE-GGA).

Calculated volume ... 202 Å³/cell
D(E_F) ... 5.91 states/eV/cell
Calculated total energy ... -3.024 eV per atom
ΔE_f ... 0.092 eV/atom
Crystal system ... tetragonal
Density ... 4.7 g/cm3

Cell lengths 5.218, 5.218, 7.417 Å; angles 90.00, 90.00, 90.00 degrees
Atoms (fractional coordinates):
Ba (0.000, 0.000, 0.000)
Ba (0.500, 0.500, 0.500)
Mg (0.000, 0.000, 0.500)
Mg (0.000, 0.500, 0.750)
Mg (0.500, 0.000, 0.250)
Mg (0.500, 0.500, 0.000)
Rh (0.000, 0.500, 0.250)
Rh (0.500, 0.000, 0.750)